Material: Li2Si
Method: DFT, PBEsol
State: optimized geometry

The structure in CIF format:
```
data_Li2Si
_cell_length_a 10.257
_cell_length_b 2.822
_cell_length_c 6.207
_cell_angle_alpha 90.00
_cell_angle_beta 101.95
_cell_angle_gamma 90.00
_symmetry_space_group_name_H-M 'C 1 2/m 1'
_symmetry_Int_Tables_number 12
_symmetry_space_group_name_Hall '-C 2y'
loop_
_atom_site_label
_atom_site_fract_x
_atom_site_fract_y
_atom_site_fract_z
Li1 0.123 0.000 0.035
Li2 0.186 0.000 0.638
Si1 0.030 0.500 0.323
```

Properties
Total moment: 0.000 μB per atom
Formation energy without anion corrections: -0.1838 eV/atom

---

Material: CuTcRh2
Method: DFT, PBEsol
State: optimized geometry

The structure in CIF format:
```
data_CuTcRh2
_cell_length_a 2.784
_cell_length_b 4.398
_cell_length_c 8.589
_cell_angle_alpha 90.00
_cell_angle_beta 90.00
_cell_angle_gamma 90.00
_symmetry_space_group_name_H-M 'I m m m'
_symmetry_Int_Tables_number 71
_symmetry_space_group_name_Hall '-I 2 2'
loop_
_atom_site_label
_atom_site_fract_x
_atom_site_fract_y
_atom_site_fract_z
Cu1 0.000 0.000 0.000
Tc1 0.000 0.000 0.500
Rh1 0.000 0.500 0.260
```

Properties
Total moment: 0.000 μB per atom
E_form: 0.1780 eV/atom
Energy relative to the lowest polymorph listed for this composition: 240.6 meV/atom

---

- Number 1 is which compound?
  Li2Si

---

- Which value of total moment does entry 2 give?
  0.000 μB per atom